# 1
This record from Alexandria via LeMat-Bulk describes a geometry-optimized CePuGe2 structure. The functional is PBE.

E_form = -0.582 eV/atom

Structure (POSCAR):
```
CePuGe2
1.0
4.390 0.000 -0.033
0.000 3.988 0.000
-2.153 0.000 5.510
Pu Ge Ce
1 2 1
Cartesian
1.030 1.994 2.289 Pu
-1.148 1.994 4.718 Ge
-1.160 0.000 3.036 Ge
1.053 0.000 5.441 Ce
```

# 2
This record from Alexandria via LeMat-Bulk describes a geometry-optimized PuSi2OsRh structure. The functional is PBE.

ΔE_f (raw) = -0.740 eV/atom

Structure (POSCAR):
```
PuSi2OsRh
1.0
-0.862 3.946 -0.775
-4.019 -0.817 0.311
2.615 -0.568 5.114
Pu Rh Si Os
1 1 2 1
Cartesian
0.000 0.000 0.000 Pu
-0.343 2.471 2.053 Rh
0.131 0.746 3.655 Si
-2.396 1.815 0.995 Si
-1.922 0.090 2.596 Os
```

# 3
This record from Alexandria via LeMat-Bulk describes a geometry-optimized Mg3In2I8 structure. The functional is PBE.

ΔE_f (raw) = -0.830 eV/atom

Structure (POSCAR):
```
Mg3In2I8
1.0
-5.041 -2.685 4.926
-5.738 -0.945 -6.386
7.267 -6.181 0.226
In I Mg
2 8 3
Cartesian
0.587 -4.338 0.114 In
-4.099 -5.472 -1.349 In
3.140 -5.392 -2.023 I
-1.046 -7.193 -1.062 I
-2.465 -2.616 -0.172 I
-5.478 -3.112 -3.525 I
-6.651 -4.418 0.788 I
-3.652 -3.749 3.835 I
1.966 -6.698 2.291 I
0.140 -6.061 -5.070 I
-1.486 -0.245 -1.654 Mg
-4.252 -0.700 -4.733 Mg
-2.521 -1.342 2.463 Mg
```

Taking the records one at a time from the top gives uncorrected energy values of -31.83, -47.46, -33.45 eV for the cell shown.
Taking the records one at a time from the top gives total moment values of 7.286, 5.308, 0.000 μB/cell.